MgSbPCl2 | PBE | relaxed

Cell and atoms, written as CIF:
```
data_MgSbPCl2
_chemical_formula_sum 'Mg1 Sb1 P1 Cl2'
_space_group_name_H-M_alt 'P 4/m m m'
_space_group_IT_number 123
_space_group_name_Hall '-P 4 2'
_cell_length_a 4.587
_cell_length_b 4.587
_cell_length_c 5.692
_cell_angle_alpha 90.00
_cell_angle_beta 90.00
_cell_angle_gamma 90.00
loop_
_atom_site_label
_atom_site_fract_x
_atom_site_fract_y
_atom_site_fract_z
_atom_site_occupancy
Mg1 0.000 0.000 0.000 1
Sb1 0.500 0.500 0.500 1
P1 0.000 0.000 0.500 1
Cl1 0.000 0.500 0.000 1
```

The mass density comes out at 3.44 g/cm3. The calculation puts the energy above the most stable polymorph in this dataset at 0.000 eV per atom. The calculation puts the total energy at -3.261 eV per atom.



MgP2SeCl | PBE | relaxed

Cell and atoms, written as CIF:
```
data_MgP2SeCl
_chemical_formula_sum 'Mg1 P2 Se1 Cl1'
_space_group_name_H-M_alt 'P 4/m m m'
_space_group_IT_number 123
_space_group_name_Hall '-P 4 2'
_cell_length_a 4.998
_cell_length_b 4.998
_cell_length_c 4.523
_cell_angle_alpha 90.00
_cell_angle_beta 90.00
_cell_angle_gamma 90.00
loop_
_atom_site_label
_atom_site_fract_x
_atom_site_fract_y
_atom_site_fract_z
_atom_site_occupancy
Mg1 0.000 0.000 0.000 1
P1 0.000 0.500 0.000 1
Se1 0.500 0.500 0.500 1
Cl1 0.000 0.000 0.500 1
```

The mass density comes out at 2.95 g/cm3. The calculation puts the energy above the most stable polymorph in this dataset at 0.000 eV per atom. The calculation puts the total energy at -3.014 eV per atom.